Record 1
# GdAgSnS3

GdAgSnS3 after structural relaxation (PBE-GGA, the Open Quantum Materials Database).

Properties
space-group type = No. 62
ΔE to the lowest computed polymorph = 0.000 eV/atom

abc: 11.9173 3.9852 12.4723
angles: 90.00 90.00 90.00
Atoms (fractional coordinates):
S1 0.1061 0.0000 0.4494
Ag1 0.3009 0.0000 0.3902
S2 0.9857 0.0000 0.1911
Sn1 0.6713 0.0000 0.4181
Sn2 0.3287 0.5000 0.5819
S3 0.6061 0.0000 0.0506
S4 0.5143 0.5000 0.6911
Gd1 0.0128 0.0000 0.6526
Ag2 0.1991 0.5000 0.8902
Ag3 0.8009 0.0000 0.1098
S5 0.8939 0.5000 0.5506
S6 0.2479 0.0000 0.7014
S7 0.4857 0.0000 0.3089
Sn3 0.8287 0.5000 0.9181
S8 0.7479 0.0000 0.7986
Gd2 0.5128 0.0000 0.8474
S9 0.3939 0.5000 0.9494
Gd3 0.9872 0.5000 0.3474
Ag4 0.6991 0.5000 0.6098
Gd4 0.4872 0.5000 0.1526
Sn4 0.1713 0.0000 0.0819
S10 0.7521 0.5000 0.2986
S11 0.2521 0.5000 0.2014
S12 0.0143 0.5000 0.8089


Record 2
# ZrBeMoW

ZrBeMoW after structural relaxation (PBE-GGA, the Open Quantum Materials Database).

Properties
space-group type = No. 216
ΔE to the lowest computed polymorph = 0.000 eV/atom

abc: 4.4834 4.4834 4.4834
angles: 60.00 60.00 60.00
Atoms (fractional coordinates):
Zr1 0.0000 0.0000 0.0000
Be1 0.7500 0.7500 0.7500
Mo1 0.2500 0.2500 0.2500
W1 0.5000 0.5000 0.5000


Record 3
# La2ZnPbAu4

La2ZnPbAu4 after structural relaxation (PBE-GGA, the Open Quantum Materials Database).

Properties
space-group type = No. 164
raw total energy = -4.13 eV/atom

abc: 4.8400 4.8400 9.5602
angles: 90.00 90.00 120.00
Atoms (fractional coordinates):
Au1 0.6667 0.3333 0.4231
La1 0.3333 0.6667 0.2536
Au2 0.3333 0.6667 0.5769
La2 0.6667 0.3333 0.7464
Au3 0.6667 0.3333 0.1127
Au4 0.3333 0.6667 0.8873
Zn1 0.0000 0.0000 0.5000
Pb1 0.0000 0.0000 0.0000


Record 4
# NaZrCoPb

NaZrCoPb after structural relaxation (PBE-GGA, the Open Quantum Materials Database).

Properties
space-group type = No. 216
ΔE to the lowest computed polymorph = 0.000 eV/atom

abc: 4.6662 4.6662 4.6662
angles: 60.00 60.00 60.00
Atoms (fractional coordinates):
Pb1 0.5000 0.5000 0.5000
Zr1 0.0000 0.0000 0.0000
Co1 0.2500 0.2500 0.2500
Na1 0.7500 0.7500 0.7500


Record 5
# SrZn2Au2

SrZn2Au2 after structural relaxation (PBE-GGA, the Open Quantum Materials Database).

Properties
space-group type = No. 129
ΔE to the lowest computed polymorph = 0.007 eV/atom

abc: 4.5928 4.5928 10.4114
angles: 90.00 90.00 90.00
Atoms (fractional coordinates):
Sr1 0.5000 0.0000 0.7456
Zn1 0.5000 0.0000 0.3757
Zn2 0.0000 0.0000 0.0000
Sr2 0.0000 0.5000 0.2544
Zn3 0.5000 0.5000 0.0000
Zn4 0.0000 0.5000 0.6243
Au1 0.0000 0.0000 0.5000
Au2 0.0000 0.5000 0.8713
Au3 0.5000 0.0000 0.1287
Au4 0.5000 0.5000 0.5000


Record 6
# HfCoReBi

HfCoReBi after structural relaxation (PBE-GGA, the Open Quantum Materials Database).

Properties
space-group type = No. 216
ΔE to the lowest computed polymorph = 0.356 eV/atom

abc: 4.6696 4.6696 4.6696
angles: 60.00 60.00 60.00
Atoms (fractional coordinates):
Hf1 0.2500 0.2500 0.2500
Bi1 0.0000 0.0000 0.0000
Re1 0.5000 0.5000 0.5000
Co1 0.7500 0.7500 0.7500


Question: Which formula does entry 6 have?
Answer: HfCoReBi